(1)
Material: ZrPb3I
Method: DFT, SCAN
State: PBEsol geometry

* theoretical density: 7.68 g/cm³
* formation energy (no corrections): 0.192 eV/atom
* crystal system: cubic

Unit cell a=5.662 b=5.662 c=5.662 alpha=90.00 beta=90.00 gamma=90.00
Fractional positions:
Zr 0.000 0.000 0.000
Pb 0.000 0.000 0.500
Pb 0.000 0.500 0.000
Pb 0.500 0.000 0.000
I 0.500 0.500 0.500

---

(2)
Material: Co2ReAu
Method: DFT, SCAN
State: PBEsol geometry

* theoretical density: 15.95 g/cm³
* polymorph energy (0 for the lowest one): 0 meV/atom
* crystal system: tetragonal

Unit cell a=2.666 b=2.666 c=7.336 alpha=90.00 beta=90.00 gamma=90.00
Fractional positions:
Co 0.000 0.000 0.000
Co 0.500 0.500 0.208
Re 0.000 0.000 0.439
Au 0.500 0.500 0.735

---

(3)
Material: Y3Be
Method: DFT, SCAN
State: PBEsol geometry

* theoretical density: 3.19 g/cm³
* polymorph energy (0 for the lowest one): 492 meV/atom
* crystal system: cubic

Unit cell a=5.238 b=5.238 c=5.238 alpha=90.00 beta=90.00 gamma=90.00
Fractional positions:
Y 0.000 0.000 0.500
Y 0.000 0.500 0.000
Y 0.500 0.000 0.000
Be 0.000 0.000 0.000

---

(4)
Material: KReAu4
Method: DFT, SCAN
State: PBEsol geometry

* theoretical density: 14.44 g/cm³
* total energy: -352.26 eV/cell
* crystal system: cubic

Unit cell a=5.483 b=5.483 c=5.483 alpha=60.00 beta=60.00 gamma=60.00
Fractional positions:
K 0.000 0.000 0.000
Re 0.750 0.750 0.750
Au 0.375 0.375 0.375
Au 0.375 0.375 0.874
Au 0.375 0.874 0.375
Au 0.874 0.375 0.375

---

(5)
Material: CrCo3
Method: DFT, SCAN
State: PBEsol geometry

* theoretical density: 9.22 g/cm³
* polymorph energy (0 for the lowest one): 85 meV/atom
* crystal system: hexagonal

Unit cell a=2.459 b=2.459 c=7.872 alpha=90.00 beta=90.00 gamma=120.00
Fractional positions:
Cr 0.000 0.000 0.000
Co 0.000 0.000 0.500
Co 0.333 0.667 0.249
Co 0.333 0.667 0.751

---

(6)
Material: InSnAsBr2
Method: DFT, SCAN
State: PBEsol geometry

* theoretical density: 5.23 g/cm³
* formation energy (no corrections): 0.083 eV/atom
* crystal system: tetragonal

Unit cell a=5.267 b=5.267 c=5.355 alpha=90.00 beta=90.00 gamma=90.00
Fractional positions:
In 0.000 0.000 0.000
Sn 0.500 0.500 0.500
As 0.000 0.000 0.500
Br 0.000 0.500 0.000
Br 0.500 0.000 0.000

---

(7)
Material: ScSb3Mo
Method: DFT, SCAN
State: PBEsol geometry

* theoretical density: 5.63 g/cm³
* formation energy (no corrections): 0.882 eV/atom
* crystal system: cubic

Unit cell a=5.305 b=5.305 c=5.305 alpha=90.00 beta=90.00 gamma=90.00
Fractional positions:
Sc 0.000 0.000 0.000
Sb 0.000 0.000 0.500
Sb 0.000 0.500 0.000
Sb 0.500 0.000 0.000
Mo 0.500 0.500 0.500

---

(8)
Material: MgRhAu
Method: DFT, SCAN
State: PBEsol geometry

* theoretical density: 11.47 g/cm³
* polymorph energy (0 for the lowest one): 0 meV/atom
* crystal system: trigonal

Unit cell a=4.417 b=4.417 c=2.779 alpha=90.00 beta=90.00 gamma=120.00
Fractional positions:
Mg 0.000 0.000 0.000
Rh 0.667 0.333 0.305
Au 0.333 0.667 0.729

---

Short version: density of states at the Fermi level = 7.04; 3.57; 4.85; 2.68; 4.03; 1.73; 3.36; 2.94 states/eV/cell, in the order given.